Record 1
DFT (PBE) results for a relaxed structure of Er2Al4PdAu3.

```
Er2Al4PdAu3
1.0
4.262 0.000 0.000
0.000 4.262 0.000
0.000 0.000 10.633
Er Al Au Pd
2 4 3 1
direct
0.000 0.500 0.748
0.500 0.000 0.252
0.500 0.000 0.629
0.500 0.500 0.000
0.000 0.500 0.371
0.000 0.000 0.000
0.000 0.000 0.500
0.000 0.500 0.139
0.500 0.000 0.861
0.500 0.500 0.500
```

Space group: P-4m2
Crystal system: tetragonal
DOS(E_F): 4.68 states/eV/f.u.
Total DFT energy (no corrections): -46.46 eV/cell
Size of the total moment: 0.0000 μB/atom
Energy of formation: -0.734 eV per atom



Record 2
DFT (PBE) results for a relaxed structure of ErAl3PdAu.

```
ErAl3PdAu
1.0
-1.895 0.005 -5.508
-4.125 -4.198 1.416
-2.129 6.706 0.738
Au Al Er Pd
2 6 2 2
direct
0.250 0.340 0.681
0.750 0.660 0.319
0.500 0.714 0.000
0.000 0.286 0.000
0.000 0.714 0.000
0.750 0.866 0.731
0.500 0.286 0.000
0.250 0.134 0.269
0.750 0.296 0.593
0.250 0.704 0.407
0.750 0.087 0.174
0.250 0.913 0.826
```

Space group: Cmcm
Crystal system: orthorhombic
DOS(E_F): 1.91 states/eV/f.u.
Total DFT energy (no corrections): -54.97 eV/cell
Size of the total moment: 0.0000 μB/atom
Energy of formation: -0.538 eV per atom



Record 3
DFT (PBE) results for a relaxed structure of PrEr2AlAu4.

```
PrEr2AlAu4
1.0
4.918 0.000 0.000
2.459 4.259 0.000
2.459 1.420 8.598
Au Pr Al Er
4 1 1 2
direct
0.877 0.877 0.369
0.123 0.123 0.631
0.606 0.606 0.182
0.394 0.394 0.818
0.000 0.000 0.000
0.500 0.500 0.500
0.239 0.239 0.284
0.761 0.761 0.716
```

Space group: R-3m
Crystal system: trigonal
DOS(E_F): 3.92 states/eV/f.u.
Total DFT energy (no corrections): -36.66 eV/cell
Size of the total moment: 0.0000 μB/atom
Energy of formation: -0.738 eV per atom



Record 4
DFT (PBE) results for a relaxed structure of ErAlPtAu.

```
ErAlPtAu
1.0
4.734 0.000 0.000
2.367 4.100 0.000
2.367 1.367 3.866
Al Au Er Pt
1 1 1 1
direct
0.500 0.500 0.500
0.250 0.250 0.250
0.000 0.000 0.000
0.750 0.750 0.750
```

Space group: F-43m
Crystal system: cubic
DOS(E_F): 2.03 states/eV/f.u.
Total DFT energy (no corrections): -21.09 eV/cell
Size of the total moment: 0.0000 μB/atom
Energy of formation: -0.867 eV per atom



Record 5
DFT (PBE) results for a relaxed structure of Er2Al4PtAu3.

```
Er2Al4PtAu3
1.0
4.276 0.000 0.000
0.000 4.276 0.000
0.000 0.000 10.570
Al Pt Er Au
4 1 2 3
direct
0.000 0.500 0.372
0.500 0.500 0.000
0.500 0.000 0.628
0.000 0.000 0.000
0.500 0.500 0.500
0.500 0.000 0.254
0.000 0.500 0.746
0.000 0.500 0.139
0.000 0.000 0.500
0.500 0.000 0.861
```

Space group: P-4m2
Crystal system: tetragonal
DOS(E_F): 5.15 states/eV/f.u.
Total DFT energy (no corrections): -47.70 eV/cell
Size of the total moment: 0.0000 μB/atom
Energy of formation: -0.773 eV per atom



Record 6
DFT (PBE) results for a relaxed structure of ErAl3PtAu.

```
ErAl3PtAu
1.0
-3.476 -3.182 3.253
4.962 -1.162 4.166
-4.036 5.607 1.170
Al Au Pt Er
6 2 2 2
direct
0.750 0.847 0.694
0.000 0.297 0.000
0.500 0.297 0.000
0.000 0.703 0.000
0.250 0.153 0.306
0.500 0.703 0.000
0.250 0.924 0.849
0.750 0.076 0.151
0.750 0.640 0.279
0.250 0.360 0.721
0.750 0.298 0.596
0.250 0.702 0.404
```

Space group: Cmcm
Crystal system: orthorhombic
DOS(E_F): 2.38 states/eV/f.u.
Total DFT energy (no corrections): -56.84 eV/cell
Size of the total moment: 0.0000 μB/atom
Energy of formation: -0.552 eV per atom